Material: Tm8MgPb2
Method: DFT, GGA-PBE
State: optimized geometry

abc: 6.158 8.820 8.820
angles: 43.06 92.45 92.45
Atoms (fractional coordinates):
Tm  0.625  0.156  0.651
Tm  0.625  0.651  0.156
Tm  0.870  0.578  0.578
Tm  0.145  0.803  0.803
Tm  0.855  0.197  0.197
Tm  0.130  0.422  0.422
Tm  0.375  0.349  0.844
Tm  0.375  0.844  0.349
Pb  0.653  0.740  0.740
Pb  0.347  0.260  0.260
Mg  0.000  0.000  0.000

Summary:
ΔE_f = -0.85 eV per formula unit
VASP energy = -4.1488 eV per atom
N(E_F) = 11.78 states/eV per cell
total moment = 0.00 μB per formula unit

Material: Tm7MgPb4
Method: DFT, GGA-PBE
State: optimized geometry

abc: 5.583 9.241 7.943
angles: 80.31 69.43 72.42
Atoms (fractional coordinates):
Pb  0.282  0.335  0.101
Pb  0.577  0.218  0.627
Pb  0.718  0.665  0.899
Pb  0.423  0.782  0.373
Tm  0.500  0.000  0.000
Tm  0.205  0.132  0.457
Tm  0.919  0.326  0.835
Tm  0.795  0.868  0.543
Tm  0.349  0.576  0.726
Tm  0.081  0.674  0.165
Tm  0.651  0.424  0.274
Mg  0.000  0.000  0.000

Summary:
ΔE_f = -0.68 eV per formula unit
VASP energy = -4.0340 eV per atom
N(E_F) = 13.77 states/eV per cell
total moment = 0.00 μB per formula unit

Material: TmMg2Pb2
Method: DFT, GGA-PBE
State: optimized geometry

abc: 4.331 4.331 7.841
angles: 106.03 106.03 90.00
Atoms (fractional coordinates):
Mg  0.250  0.750  0.500
Mg  0.750  0.250  0.500
Tm  0.000  0.000  0.000
Pb  0.607  0.607  0.213
Pb  0.393  0.393  0.787

Summary:
ΔE_f = -0.39 eV per formula unit
VASP energy = -3.0926 eV per atom
energy above the most stable polymorph in this dataset = 0.000 eV/atom
N(E_F) = 2.66 states/eV per cell
total moment = 0.00 μB per formula unit

Material: Tm2Mg3Pb3
Method: DFT, GGA-PBE
State: optimized geometry

abc: 4.836 4.679 9.037
angles: 90.00 90.00 90.00
Atoms (fractional coordinates):
Pb  0.000  0.500  0.000
Pb  0.000  0.500  0.500
Pb  0.500  0.000  0.500
Mg  0.500  0.500  0.241
Mg  0.500  0.000  0.000
Mg  0.500  0.500  0.759
Tm  0.000  0.000  0.748
Tm  0.000  0.000  0.252

Summary:
ΔE_f = -2.08 eV per formula unit
VASP energy = -3.3667 eV per atom
N(E_F) = 3.47 states/eV per cell
total moment = 0.00 μB per formula unit

Material: TmMg5Pb8
Method: DFT, GGA-PBE
State: optimized geometry

abc: 8.048 8.048 8.048
angles: 106.80 114.96 106.80
Atoms (fractional coordinates):
Pb  0.594  0.348  0.901
Pb  0.754  0.307  0.406
Pb  0.553  0.652  0.246
Pb  0.580  0.942  0.937
Pb  0.063  0.643  0.006
Pb  0.994  0.058  0.637
Pb  0.363  0.357  0.420
Pb  0.099  0.693  0.447
Mg  0.763  0.748  0.723
Mg  0.985  0.960  0.237
Mg  0.500  0.000  0.500
Mg  0.277  0.040  0.025
Mg  0.975  0.252  0.015
Tm  0.250  0.500  0.750

Summary:
ΔE_f = -0.24 eV per formula unit
VASP energy = -3.0248 eV per atom
N(E_F) = 7.62 states/eV per cell
total moment = 0.00 μB per formula unit

Material: Tm3MgPb
Method: DFT, GGA-PBE
State: optimized geometry

abc: 8.688 8.688 11.104
angles: 79.52 79.52 42.15
Atoms (fractional coordinates):
Tm  0.864  0.937  0.749
Tm  0.787  0.305  0.503
Tm  0.305  0.787  0.003
Tm  0.937  0.864  0.249
Tm  0.277  0.330  0.747
Tm  0.063  0.136  0.751
Tm  0.695  0.213  0.997
Tm  0.723  0.670  0.253
Tm  0.213  0.695  0.497
Tm  0.670  0.723  0.753
Tm  0.330  0.277  0.247
Tm  0.136  0.063  0.251
Pb  0.448  0.552  0.750
Pb  0.500  0.000  0.000
Pb  0.552  0.448  0.250
Pb  0.000  0.500  0.500
Mg  0.931  0.384  0.993
Mg  0.616  0.069  0.507
Mg  0.069  0.616  0.007
Mg  0.384  0.931  0.493

Summary:
ΔE_f = -0.77 eV per formula unit
VASP energy = -3.8985 eV per atom
N(E_F) = 18.19 states/eV per cell
total moment = 0.00 μB per formula unit

Material: Tm4MgPb2
Method: DFT, GGA-PBE
State: optimized geometry

abc: 4.788 6.519 6.519
angles: 98.45 90.00 90.00
Atoms (fractional coordinates):
Tm  0.500  0.500  0.000
Tm  0.500  0.000  0.500
Tm  0.000  0.227  0.227
Tm  0.000  0.773  0.773
Pb  0.000  0.265  0.735
Pb  0.000  0.735  0.265
Mg  0.500  0.500  0.500

Summary:
ΔE_f = -1.44 eV per formula unit
VASP energy = -4.0489 eV per atom
energy above the most stable polymorph in this dataset = 0.000 eV/atom
N(E_F) = 6.01 states/eV per cell
total moment = 0.75 μB per formula unit

Material: YTmMgPb
Method: DFT, GGA-PBE
State: optimized geometry

abc: 5.342 5.342 5.342
angles: 60.00 60.00 60.00
Atoms (fractional coordinates):
Y  0.750  0.750  0.750
Tm  0.250  0.250  0.250
Mg  0.000  0.000  0.000
Pb  0.500  0.500  0.500

Summary:
ΔE_f = -1.04 eV per formula unit
VASP energy = -4.3202 eV per atom
N(E_F) = 4.21 states/eV per cell
total moment = 0.00 μB per formula unit

Q: Which value of total moment does entry 1 give?
A: 0.00 μB per formula unit